Material: V2SnRh
Method: DFT, PBE-GGA
State: relaxed

Cell: 7.152 7.152 5.345 Å, 90.00 90.00 90.00°
Space group I-42d (No. 122)
Asymmetric unit:
V: 0.212 0.250 0.125
Sn: 0.000 0.000 0.500
Rh: 0.000 0.000 0.000

Computed properties:
Calculated formation energy = 0.2545 eV/atom
Total magnetization = 0.00 μB per formula unit